1.
Here is a geometry-optimized K2BaS structure from Alexandria. Energies are from GGA-PBE.

a = 11.6873 Å, b = 11.6873 Å, c = 8.8084 Å
α = 48.44°, β = 48.44°, γ = 90.00°
With the nearest neighbours (Å) after each atom.
Fractional coordinates of all 8 atoms:
K (0.2647, 0.6250, 0.2500)  2 S 3.28
K (0.3750, 0.5147, 0.7500)  2 S 3.28
K (0.8750, 0.7353, 0.7500)  2 S 3.28
Ba (0.7500, 0.2500, 0.5000)  2 S 3.05
S (0.5000, 0.5000, 0.0000)  2 Ba 3.05, 4 K 3.28
K (0.4853, 0.1250, 0.2500)  2 S 3.28
S (0.2500, 0.7500, 0.5000)  2 Ba 3.05, 4 K 3.28
Ba (0.0000, 0.0000, 0.0000)  2 S 3.05

- symmetry = I-42d (122)
- total DFT energy (no corrections) (eV per atom) = -2.76
- E_form (uncorrected) (eV per atom) = -0.70



2.
Here is a geometry-optimized CdCo3Pd structure from Alexandria. Energies are from GGA-PBE.

a = 4.5870 Å, b = 4.5870 Å, c = 4.5870 Å
α = 90.00°, β = 90.00°, γ = 90.00°
With the nearest neighbours (Å) after each atom.
Fractional coordinates of all 5 atoms:
Co (0.0000, 0.0000, 0.5000)  2 Pd 2.29
Co (0.0000, 0.5000, 0.0000)  2 Pd 2.29
Pd (0.0000, 0.0000, 0.0000)  6 Co 2.29
Co (0.5000, 0.0000, 0.0000)  2 Pd 2.29
Cd (0.5000, 0.5000, 0.5000)  12 Co 3.24

- symmetry = Pm-3m (221)
- formation energy from the elements (eV/atom) = 1.22
- total DFT energy (no corrections) (eV per atom) = -4.27
- offset from the most stable computed form (meV per atom) = 0



3.
Here is a geometry-optimized ZrTcGeRu structure from Alexandria. Energies are from GGA-PBE.

a = 4.4760 Å, b = 4.4760 Å, c = 4.4760 Å
α = 60.00°, β = 60.00°, γ = 60.00°
With the nearest neighbours (Å) after each atom.
Fractional coordinates of all 4 atoms:
Ge (0.0000, 0.0000, 0.0000)  4 Tc 2.74, 4 Ru 2.74
Tc (0.7500, 0.7500, 0.7500)  4 Ge 2.74, 4 Zr 2.74
Zr (0.5000, 0.5000, 0.5000)  4 Tc 2.74, 4 Ru 2.74
Ru (0.2500, 0.2500, 0.2500)  4 Ge 2.74, 4 Zr 2.74

- symmetry = F-43m (216)
- formation energy from the elements (eV/atom) = -0.40
- total DFT energy (no corrections) (eV per atom) = -8.60



4.
Here is a geometry-optimized Cr2CuTc structure from Alexandria. Energies are from GGA-PBE.

a = 4.8320 Å, b = 4.8320 Å, c = 4.1073 Å
α = 64.85°, β = 64.85°, γ = 35.96°
With the nearest neighbours (Å) after each atom.
Fractional coordinates of all 4 atoms:
Cr (0.7303, 0.7303, 0.7700)  2 Cr 2.34, 4 Tc 2.55-2.56
Cr (0.0109, 0.0109, 0.9891)  2 Cr 2.34, 2 Tc 2.51, 4 Cu 2.54
Cu (0.4928, 0.4928, 0.5070)  8 Cr 2.54-2.84, 4 Tc 2.70-2.77
Tc (0.2660, 0.2660, 0.2339)  6 Cr 2.51-2.56, 4 Cu 2.70-2.77

- symmetry = Imm2 (44)
- formation energy from the elements (eV/atom) = 0.23
- total DFT energy (no corrections) (eV per atom) = -8.20



5.
Here is a geometry-optimized ZrCd2Cu9 structure from Alexandria. Energies are from GGA-PBE.

a = 4.9768 Å, b = 4.9768 Å, c = 8.5528 Å
α = 73.09°, β = 73.09°, γ = 60.00°
With the nearest neighbours (Å) after each atom.
Fractional coordinates of all 12 atoms:
Zr (0.0000, 0.0000, 0.0000)  18 Cu 2.87-3.20
Cu (0.4160, 0.4160, 0.2490)  7 Cu 2.46-2.50
Cd (0.8583, 0.8583, 0.4251)  12 Cu 2.86-2.99, 3 Cd 3.12
Cu (0.6665, 0.6665, 0.0004)  6 Cu 2.46-2.47
Cu (0.3335, 0.3335, 0.9996)  6 Cu 2.46-2.47
Cu (0.0810, 0.5840, 0.7510)  7 Cu 2.46-2.50
Cu (0.5000, 0.5000, 0.5000)  6 Cu 2.49
Cu (0.5840, 0.5840, 0.7510)  7 Cu 2.46-2.50
Cu (0.5840, 0.0810, 0.7510)  7 Cu 2.46-2.50
Cu (0.9190, 0.4160, 0.2490)  7 Cu 2.46-2.50
Cd (0.1417, 0.1417, 0.5749)  12 Cu 2.86-2.99, 3 Cd 3.12
Cu (0.4160, 0.9190, 0.2490)  7 Cu 2.46-2.50

- symmetry = R-3m (166)
- formation energy from the elements (eV/atom) = -0.03
- total DFT energy (no corrections) (eV per atom) = -3.97



6.
Here is a geometry-optimized ScAl6Cu structure from Alexandria. Energies are from GGA-PBE.

a = 4.3449 Å, b = 5.7322 Å, c = 5.7322 Å
α = 69.52°, β = 90.00°, γ = 90.00°
With the nearest neighbours (Å) after each atom.
Fractional coordinates of all 8 atoms:
Al (0.0000, 0.7017, 0.2983)  2 Cu 2.54, 3 Al 2.64-2.80
Al (0.0000, 0.7873, 0.7873)  8 Al 2.74-3.01, 2 Sc 2.95
Al (0.5000, 0.5000, 0.0000)  4 Al 2.74, 2 Cu 2.87, 2 Sc 2.87
Al (0.0000, 0.2983, 0.7017)  2 Cu 2.54, 3 Al 2.64-2.80
Al (0.5000, 0.0000, 0.5000)  4 Al 2.74, 2 Sc 2.87, 2 Cu 2.87
Sc (0.5000, 0.0000, 0.0000)  12 Al 2.87-2.95
Cu (0.5000, 0.5000, 0.5000)  4 Al 2.54
Al (0.0000, 0.2127, 0.2127)  8 Al 2.74-3.01, 2 Sc 2.95

- symmetry = Cmmm (65)
- formation energy from the elements (eV/atom) = -0.16
- total DFT energy (no corrections) (eV per atom) = -4.27



Volume? In order: 416.4 96.5 63.4 50.4 172.8 133.7 Å³/cell.